Entry 1:
Below is a relaxed structure of KZn2Rh, with properties calculated at the PBE level.

The calculation puts the volume at 20.406 Å³/atom. For the raw total energy, the calculation gives -2.75 eV per atom. As for the formation energy: -0.001 eV/atom. The calculation puts the size of the total moment at 0.00 μB per cell. The calculation puts the distance to the lowest polymorph of the same formula at 0.41 eV per formula unit. The density of states at the Fermi level is 0.682 states/eV per atom.

It has space group Pmmm (No. 47), with a = 3.037 Å, b = 3.536 Å, c = 7.601 Å, α = 90.00°, β = 90.00° and γ = 90.00°. The distinct sites, in fractional coordinates, are K at (0.000, 0.000, 0.000), Zn at (0.500, 0.500, 0.334) and Rh at (0.000, 0.000, 0.500).

---

Entry 2:
Below is a relaxed structure of BaMo2Ru, with properties calculated at the PBE level.

The calculation puts the volume at 19.120 Å³/atom. For the raw total energy, the calculation gives -6.96 eV per atom. As for the formation energy: 1.252 eV/atom. The calculation puts the size of the total moment at 0.00 μB per cell. The calculation puts the distance to the lowest polymorph of the same formula at 2.44 eV per formula unit. The density of states at the Fermi level is 1.197 states/eV per atom.

It has space group C2/m (No. 12), with a = 5.557 Å, b = 9.819 Å, c = 2.950 Å, α = 90.00°, β = 108.16° and γ = 90.00°. The distinct sites, in fractional coordinates, are Ba at (0.000, 0.000, 0.000), Mo at (0.250, 0.250, 0.500) and Ru at (0.000, 0.500, 0.000).

---

Entry 3:
Below is a relaxed structure of Li5Mg2Hg2, with properties calculated at the PBE level.

The calculation puts the volume at 21.197 Å³/atom. For the raw total energy, the calculation gives -1.59 eV per atom. As for the formation energy: -0.104 eV/atom. The calculation puts the size of the total moment at 0.00 μB per cell. The density of states at the Fermi level is 0.255 states/eV per atom.

It has space group Cmce (No. 64), with a = 15.473 Å, b = 7.033 Å, c = 7.013 Å, α = 90.00°, β = 90.00° and γ = 90.00°. The distinct sites, in fractional coordinates, are Li at (0.000, 0.000, 0.000), Li at (0.125, 0.176, 0.325), Mg at (0.224, 0.000, 0.000) and Hg at (0.000, 0.142, 0.643).

---

Which value of size of the total moment does entry 1 give? 0.00 μB per cell

---

Among the records above, which one has the highest raw total energy? Li5Mg2Hg2